Material: Zr2Al3Mo
Method: DFT, GGA-PBE
State: optimized geometry

Results
Its energy of formation from the pure elements is -436 meV/atom. The calculation puts the calculated volume at 324.4 Å³/cell. Its crystal system is trigonal.

Cell: 5.3435 5.3435 13.1186 Å, 90.00 90.00 120.00°
Space group R-3m (No. 166, hexagonal axes)
Asymmetric unit:
1 Zr 0.0000 0.0000 0.1286 (multiplicity 6)
2 Al 0.0000 0.5000 0.0000 (multiplicity 9)
3 Mo 0.0000 0.0000 0.5000 (multiplicity 3)